1.
DFT (GGA-PBE) results for crystalline SrZn3Ir at its relaxed geometry.

```
SrZn3Ir
1.0
5.4406 0.0000 0.0000
-2.7203 4.7117 0.0000
0.0000 0.0000 11.6975
Sr Zn Ir
3 9 3
Cartesian
0.0000 0.0000 0.0000
0.0000 3.1411 7.7983
2.7203 1.5706 3.8992
-1.3221 2.3778 1.3790
0.0000 1.5266 5.2782
-1.3982 3.9484 5.2782
1.3982 0.8072 9.1773
1.3221 2.3778 1.3790
0.0000 4.6677 1.3790
1.3982 3.9484 5.2782
4.0424 0.8072 9.1773
2.7203 3.0972 9.1773
0.0000 0.0000 3.0815
0.0000 3.1411 10.8798
2.7203 1.5706 6.9807
```

ΔE to the lowest computed polymorph ... 396 meV/atom
Density ... 7.91 g cm⁻³

=====

2.
DFT (GGA-PBE) results for crystalline SrZn3Ir at its relaxed geometry.

```
SrZn3Ir
1.0
6.7136 -4.8772 0.0000
6.7136 4.8772 0.0000
-1.5305 0.0000 6.0768
Sr Zn Ir
4 12 4
Cartesian
5.5658 4.4169 4.5576
6.3310 1.3136 1.5192
5.5658 -1.3136 4.5576
6.3310 -4.4169 1.5192
2.3168 1.6571 0.3389
1.6322 1.7409 3.7735
3.4162 0.0452 2.4252
2.6509 -0.0452 5.4635
1.5516 -1.6571 3.3772
2.3975 -1.7409 0.7351
9.4993 1.7409 5.3416
10.3452 1.6571 2.6995
9.2458 0.0452 0.6132
8.4806 -0.0452 3.6516
10.2645 -1.7409 2.3033
9.5799 -1.6571 5.7379
4.3345 1.6239 4.2829
6.7970 1.6239 4.8323
5.0998 -1.6239 1.2445
7.5622 -1.6239 1.7939
```

ΔE to the lowest computed polymorph ... 166 meV/atom
Density ... 7.95 g cm⁻³

=====

3.
DFT (GGA-PBE) results for crystalline SrZn3Ir at its relaxed geometry.

```
SrZn3Ir
1.0
4.3487 0.0000 0.0000
0.0162 6.0240 0.0000
2.1603 1.0889 7.7358
Sr Zn Ir
2 6 2
Cartesian
0.0000 0.0000 0.0000
2.1849 4.8264 3.0544
2.1693 4.0920 6.2896
2.1762 1.8261 4.4994
2.1776 1.7954 1.8451
4.3473 2.9543 5.3994
4.3556 5.9700 5.3967
4.3550 3.0282 1.2074
4.3422 4.5746 7.5304
4.3516 1.3405 3.2606
```

ΔE to the lowest computed polymorph ... 29 meV/atom
Density ... 7.80 g cm⁻³

=====

4.
DFT (GGA-PBE) results for crystalline SrZn3Ir at its relaxed geometry.

```
SrZn3Ir
1.0
0.0000 6.5630 6.5630
6.5630 0.0000 6.5630
6.5630 6.5630 0.0000
Sr Zn Ir
4 12 4
Cartesian
0.0000 0.0000 0.0000
3.2815 3.2815 0.0000
3.2815 0.0000 3.2815
0.0000 3.2815 3.2815
4.9222 4.9222 2.5805
4.9222 2.5805 4.9222
7.2640 4.9222 4.9222
8.2037 8.2037 5.8620
8.2037 5.8620 8.2037
10.5454 8.2037 8.2037
2.5805 4.9222 4.9222
4.9222 7.2640 4.9222
4.9222 4.9222 7.2640
5.8620 8.2037 8.2037
8.2037 10.5454 8.2037
8.2037 8.2037 10.5454
6.5630 3.2815 3.2815
3.2815 6.5630 3.2815
3.2815 3.2815 6.5630
6.5630 6.5630 6.5630
```

ΔE to the lowest computed polymorph ... 396 meV/atom
Density ... 5.59 g cm⁻³

=====

5.
DFT (GGA-PBE) results for crystalline SrZnIr2 at its relaxed geometry.

```
SrZnIr2
1.0
7.6154 0.0000 0.0000
0.0000 4.4713 0.0000
0.0000 0.0000 10.4286
Sr Zn Ir
4 4 8
Cartesian
1.0588 1.1178 2.4411
2.7489 3.3535 7.6554
4.8665 1.1178 2.7732
6.5566 3.3535 7.9875
0.7206 1.1178 9.7401
3.0871 3.3535 4.5258
4.5283 1.1178 5.9028
6.8948 3.3535 0.6885
0.5527 3.3535 5.1134
1.7642 3.3535 0.0743
2.0435 1.1178 5.2886
3.2550 1.1178 10.3277
4.3604 3.3535 0.1009
5.5719 3.3535 5.1400
5.8512 1.1178 10.3544
7.0627 1.1178 5.3152
```

Uncorrected energy ... -0.395 Ry per atom
Density ... 10.05 g cm⁻³

=====

6.
DFT (GGA-PBE) results for crystalline SrZn3Ir at its relaxed geometry.

```
SrZn3Ir
1.0
6.9768 -2.1199 0.0000
6.9768 2.1199 0.0000
-2.6393 0.0000 7.3072
Sr Zn Ir
2 6 2
Cartesian
1.8340 0.0000 0.8101
9.4802 0.0000 6.4971
-1.7674 0.0000 4.9455
1.3134 0.0000 4.1353
4.7902 0.0000 2.0876
6.5241 0.0000 5.2196
10.0008 0.0000 3.1719
13.0816 0.0000 2.3617
3.9016 0.0000 4.5007
7.4126 0.0000 2.8065
```

ΔE to the lowest computed polymorph ... 189 meV/atom
Density ... 7.31 g cm⁻³

=====

Which of these has the highest density?
SrZnIr2